Entry 1:
Computed, not measured: crystalline InSi2Se at its relaxed geometry at the PBE-GGA level of DFT.

Unit cell a=3.3426 b=3.3426 c=8.3112 alpha=90.00 beta=90.00 gamma=116.06
With the nearest neighbours (Å) after each atom.
Fractional coordinates of all 4 atoms:
In1 0.0000 0.0000 0.0000  4 Si 2.88
Si1 0.5000 0.5000 0.2737  2 Se 2.58, 2 In 2.88
Si2 0.5000 0.5000 0.7263  2 Se 2.58, 2 In 2.88
Se1 0.0000 0.0000 0.5000  4 Si 2.58

## Properties
Spin magnetization ... 0.00 Bohr magnetons per cell
Raw formation energy ... 0.48 eV per atom

---

Entry 2:
Computed, not measured: crystalline GdHoAlCo at its relaxed geometry at the PBE-GGA level of DFT.

Unit cell a=4.9599 b=4.9599 c=4.9599 alpha=60.00 beta=60.00 gamma=60.00
With the nearest neighbours (Å) after each atom.
Fractional coordinates of all 4 atoms:
Gd1 0.0000 0.0000 0.0000  4 Al 3.04, 4 Co 3.04
Ho1 0.5000 0.5000 0.5000  4 Al 3.04, 4 Co 3.04
Al1 0.7500 0.7500 0.7500  4 Gd 3.04, 4 Ho 3.04
Co1 0.2500 0.2500 0.2500  4 Gd 3.04, 4 Ho 3.04

## Properties
Energy of formation from the pure elements ... -0.7 eV per formula unit
Spin magnetization ... 7.99 Bohr magnetons per cell

---

Entry 3:
Computed, not measured: crystalline PuTlCu at its relaxed geometry at the PBE-GGA level of DFT.

Unit cell a=6.2503 b=6.2503 c=4.8400 alpha=90.00 beta=90.00 gamma=135.63
With the nearest neighbours (Å) after each atom.
Fractional coordinates of all 6 atoms:
Pu1 0.0913 0.9087 0.7500  4 Cu 2.96-3.07, 2 Pu 3.21
Pu2 0.9087 0.0913 0.2500  4 Cu 2.96-3.07, 2 Pu 3.21
Tl1 0.3858 0.6142 0.7500  4 Cu 2.77-2.96
Tl2 0.6142 0.3858 0.2500  4 Cu 2.77-2.96
Cu1 0.2389 0.7611 0.2500  4 Tl 2.77-2.96, 4 Pu 2.96-3.07
Cu2 0.7611 0.2389 0.7500  4 Tl 2.77-2.96, 4 Pu 2.96-3.07

## Properties
Energy of formation from the pure elements ... 0.2 eV per formula unit
Spin magnetization ... 11.55 Bohr magnetons per cell